MoPdF2: relaxed, GGA+U.

Calculated values
- energy above the most stable polymorph in this dataset (eV per atom) = 0.000
- crystal system = trigonal

Cell lengths 10.104, 10.104, 10.104 Å; angles 15.72, 15.72, 15.72 degrees
Atoms (fractional coordinates):
Mo1 0.500 0.500 0.500
Pd1 0.000 0.000 0.000
F1 0.884 0.884 0.884
F2 0.116 0.116 0.116